ScRuO2F (PBE, relaxed); E_form (uncorrected) = -34.3 kcal/mol of atoms; total DFT energy (no corrections) = -0.2560 Ha/atom; total moment = 4.00 μB per formula unit; mass density = 4.883 g cm⁻³
1.0
4.119 0.000 0.000
0.000 4.119 0.000
0.000 0.000 3.950
Sc Ru O F
1 1 2 1
direct
0.000 0.000 0.000
0.500 0.500 0.500
0.000 0.500 0.000
0.500 0.000 0.000
0.000 0.000 0.500